(1)
{
  "formula": "La3ScN",
  "functional": "PBE",
  "state": "optimized geometry",
  "formation_energy_uncorrected_ev_per_atom": -0.4977,
  "spacegroup": "Pm-3m (221)",
  "polymorph_energy_mev_per_atom": 0.0,
  "lattice": [[5.167, 0.000, 0.000], [0.000, 5.167, 0.000], [0.000, 0.000, 5.167]],
  "species": ["La", "La", "La", "N", "Sc"],
  "frac_coords": [[0.000, 0.500, 0.000], [0.500, 0.000, 0.000], [0.000, 0.000, 0.500], [0.000, 0.000, 0.000], [0.500, 0.500, 0.500]]
}



(2)
{
  "formula": "Sr2HoHfAs4",
  "functional": "PBE",
  "state": "optimized geometry",
  "ef_mev_per_atom": -1159,
  "spacegroup": "P2/m (10)",
  "lattice": [[-0.283, 1.126, -3.952], [-6.375, -3.250, -0.469], [-1.127, 7.114, 2.107]],
  "species": ["As", "As", "As", "As", "Ho", "Hf", "Sr", "Sr"],
  "frac_coords": [[0.000, 0.752, 0.217], [0.000, 0.248, 0.783], [0.500, 0.774, 0.788], [0.500, 0.226, 0.212], [0.500, 0.500, 0.000], [0.000, 0.000, 0.000], [0.000, 0.500, 0.500], [0.500, 0.000, 0.500]]
}



(3)
{
  "formula": "CsHfS3",
  "functional": "PBE",
  "state": "optimized geometry",
  "formation_energy_uncorrected_ev_per_atom": -1.2106,
  "spacegroup": "R-3m (166)",
  "polymorph_energy_mev_per_atom": 186.5,
  "lattice": [[3.908, 0.000, 7.868], [-1.954, 3.385, 7.868], [-1.954, -3.385, 7.868]],
  "species": ["Cs", "Cs", "Hf", "Hf", "S", "S", "S", "S", "S", "S"],
  "frac_coords": [[0.130, 0.130, 0.130], [0.870, 0.870, 0.870], [0.334, 0.334, 0.334], [0.666, 0.666, 0.666], [0.932, 0.430, 0.430], [0.430, 0.430, 0.932], [0.430, 0.932, 0.430], [0.068, 0.570, 0.570], [0.570, 0.570, 0.068], [0.570, 0.068, 0.570]]
}



Record order is preserved below.
E: -6.39; -5.72; -5.85 eV per atom